The following is a PBE-GGA calculation of a relaxed Ba3CrPd crystal, from Alexandria via LeMat-Bulk.

## Properties
As for the energy relative to the elements: 0.22 eV per atom. Its energy above the most stable polymorph in this dataset is 0.00 kJ per mole of atoms. The density of states at the Fermi level is 3.1 states/eV per cell. The calculation puts the calculated total energy at -3.900 eV/atom.

Cell lengths 6.180, 6.180, 6.180 Å; angles 90.00, 90.00, 90.00 degrees
Fractional positions:
1 Ba 0.000 0.000 0.500
2 Ba 0.000 0.500 0.000
3 Ba 0.500 0.000 0.000
4 Cr 0.500 0.500 0.500
5 Pd 0.000 0.000 0.000



The following is a PBE-GGA calculation of a relaxed POs2F2 crystal, from Alexandria via LeMat-Bulk.

## Properties
Its energy above the most stable polymorph in this dataset is 110.71 kJ per mole of atoms. The density of states at the Fermi level is 11.5 states/eV per cell. The calculation puts the calculated total energy at -5.598 eV/atom.

Cell lengths 6.589, 6.589, 2.988 Å; angles 90.00, 90.00, 90.00 degrees
Fractional positions:
1 P 0.000 0.000 0.000
2 P 0.500 0.500 0.000
3 Os 0.242 0.258 0.500
4 Os 0.258 0.758 0.500
5 Os 0.742 0.242 0.500
6 Os 0.758 0.742 0.500
7 F 0.109 0.609 0.000
8 F 0.391 0.109 0.000
9 F 0.609 0.891 0.000
10 F 0.891 0.391 0.000



The following is a PBE-GGA calculation of a relaxed CuAg2Ir crystal, from Alexandria via LeMat-Bulk.

## Properties
As for the energy relative to the elements: 0.49 eV per atom. Its energy above the most stable polymorph in this dataset is 28.34 kJ per mole of atoms. The density of states at the Fermi level is 3.0 states/eV per cell. The calculation puts the calculated total energy at -4.173 eV/atom.

Cell lengths 6.320, 6.320, 6.320 Å; angles 90.00, 90.00, 90.00 degrees
Fractional positions:
1 Cu 0.000 0.000 0.000
2 Cu 0.000 0.500 0.500
3 Cu 0.500 0.000 0.500
4 Cu 0.500 0.500 0.000
5 Ag 0.250 0.250 0.250
6 Ag 0.250 0.250 0.750
7 Ag 0.250 0.750 0.250
8 Ag 0.250 0.750 0.750
9 Ag 0.750 0.250 0.250
10 Ag 0.750 0.250 0.750
11 Ag 0.750 0.750 0.250
12 Ag 0.750 0.750 0.750
13 Ir 0.000 0.000 0.500
14 Ir 0.000 0.500 0.000
15 Ir 0.500 0.000 0.000
16 Ir 0.500 0.500 0.500



- What is the energy above the most stable polymorph in this dataset in the first record?
  0.00 kJ per mole of atoms